First-principles (GGA+U) data for a relaxed structure of Na5MnO4, as listed in Alexandria.

Computed properties:
Total moment ... 8.00 μB per cell
E above lowest polymorph ... 0.27 kcal/mol of atoms
V ... 14.8 A^3/atom

Unit cell a=5.233 b=7.593 c=7.454 alpha=90.00 beta=90.00 gamma=90.00
Positions (direct):
Na (0.256, 0.306, 0.736)
Na (0.744, 0.194, 0.236)
O (0.388, 0.000, 0.768)
Mn (0.778, 0.500, 0.500)
Na (0.830, 0.500, 0.000)
O (0.951, 0.272, 0.500)
O (0.612, 0.500, 0.732)
O (0.388, 0.000, 0.232)
Na (0.256, 0.694, 0.264)
Na (0.744, 0.194, 0.764)
O (0.049, 0.228, 0.000)
Na (0.744, 0.806, 0.764)
O (0.049, 0.772, 0.000)
Na (0.170, 0.000, 0.500)
Na (0.744, 0.806, 0.236)
Mn (0.222, 0.000, 0.000)
Na (0.256, 0.306, 0.264)
O (0.951, 0.728, 0.500)
O (0.612, 0.500, 0.268)
Na (0.256, 0.694, 0.736)